[1]
13
Lattice="6.133 0.000 0.000 1.028 6.052 0.000 2.058 -0.325 10.989" Properties=species:S:1:pos:R:3 comment="PBE Nd3Dy2Tm8, relaxed" sg="P-1, No. 2" magmom_total_mub_per_fu=0.00 delta_e_f_ev_per_atom=0.0262 e_above_lowest_polymorph_ev_per_fu=0.00 energy_ev_per_atom=-4.534 pbc="T T T"
Nd 0.000 0.000 0.000
Nd 2.054 2.769 0.870
Nd 7.165 2.958 10.119
Dy 4.100 4.505 5.082
Dy 5.118 1.221 5.907
Tm 2.044 0.698 7.570
Tm 2.056 1.736 4.249
Tm 4.093 3.460 8.407
Tm 4.115 5.546 1.735
Tm 5.103 0.181 9.254
Tm 5.126 2.267 2.582
Tm 7.163 3.991 6.740
Tm 7.174 5.029 3.419



[2]
18
Lattice="10.061 -3.154 0.000 10.061 3.154 0.000 -6.473 0.000 9.856" Properties=species:S:1:pos:R:3 comment="PBE Nd5Dy3Tm, relaxed" sg="C2/c, No. 15" magmom_total_mub_per_fu=0.00 delta_e_f_ev_per_atom=0.2696 e_above_lowest_polymorph_ev_per_fu=0.00 energy_ev_per_atom=-4.410 pbc="T T T"
Nd 5.099 2.108 3.372
Nd 5.207 2.570 7.392
Nd 2.096 1.096 6.601
Nd 11.787 2.108 1.556
Nd 5.333 -1.096 1.673
Nd 8.317 1.096 8.183
Nd 1.863 -2.108 8.300
Nd 11.553 -1.096 3.255
Nd 8.443 -2.570 2.464
Nd 8.550 -2.108 6.485
Dy 0.217 1.387 9.597
Dy 10.196 1.387 5.188
Dy 10.061 0.000 0.000
Dy 6.825 0.000 4.928
Dy 3.453 -1.387 4.669
Dy 13.433 -1.387 0.259
Tm 8.443 0.637 2.464
Tm 5.207 -0.637 7.392



[3]
12
Lattice="6.287 0.000 0.000 0.000 3.495 0.000 -1.885 0.000 17.219" Properties=species:S:1:pos:R:3 comment="PBE Nd2Dy3Tm7, relaxed" sg="P2/m, No. 10" magmom_total_mub_per_fu=0.00 delta_e_f_ev_per_atom=0.0870 e_above_lowest_polymorph_ev_per_fu=0.00 energy_ev_per_atom=-4.467 pbc="T T T"
Nd 0.049 0.000 3.005
Nd 4.353 0.000 14.215
Dy 1.247 1.747 14.509
Dy 2.201 0.000 8.610
Dy 3.155 1.747 2.710
Tm -0.942 1.747 8.610
Tm 0.176 0.000 11.458
Tm -0.277 0.000 17.209
Tm 1.093 1.747 5.814
Tm 3.310 1.747 11.405
Tm 4.679 0.000 0.010
Tm 4.227 0.000 5.761



[4]
11
Lattice="19.755 -1.783 0.000 19.755 1.783 0.000 -0.636 0.000 4.977" Properties=species:S:1:pos:R:3 comment="PBE Nd3Dy4Tm4, relaxed" sg="C2/m, No. 12" magmom_total_mub_per_fu=0.00 delta_e_f_ev_per_atom=0.0217 e_above_lowest_polymorph_ev_per_fu=0.00 energy_ev_per_atom=-4.578 pbc="T T T"
Nd 0.000 0.000 0.000
Nd 14.104 0.000 1.808
Nd 24.770 0.000 3.168
Dy 7.127 0.000 0.910
Dy 17.641 0.000 2.261
Dy 21.233 0.000 2.716
Dy 31.747 0.000 4.066
Tm 3.542 0.000 0.451
Tm 10.579 0.000 1.355
Tm 28.296 0.000 3.622
Tm 35.332 0.000 4.526



[5]
11
Lattice="4.503 -7.951 0.000 4.503 7.951 0.000 -3.199 0.000 4.887" Properties=species:S:1:pos:R:3 comment="PBE Nd2DyTm8, relaxed" sg="C2/m, No. 12" magmom_total_mub_per_fu=0.00 delta_e_f_ev_per_atom=0.1622 e_above_lowest_polymorph_ev_per_fu=0.00 energy_ev_per_atom=-4.375 pbc="T T T"
Nd 4.503 4.875 0.000
Nd 4.503 -4.875 0.000
Dy 2.904 0.000 2.443
Tm -0.327 0.000 1.449
Tm -0.066 1.848 4.039
Tm 2.904 3.300 2.443
Tm -0.066 -1.848 4.039
Tm 5.874 1.848 0.848
Tm 2.904 -3.300 2.443
Tm 5.874 -1.848 0.848
Tm 6.135 0.000 3.438



[6]
12
Lattice="-4.354 4.354 5.624 4.354 -4.354 5.624 4.354 4.354 -5.624" Properties=species:S:1:pos:R:3 comment="PBE Nd3DyTm8, relaxed" sg="I-42m, No. 121" magmom_total_mub_per_fu=0.00 delta_e_f_ev_per_atom=0.6431 energy_ev_per_atom=-3.913 pbc="T T T"
Nd 0.000 0.000 0.000
Nd 4.354 0.000 2.812
Nd 0.000 4.354 2.812
Dy 0.000 0.000 5.624
Tm 1.096 -1.096 2.867
Tm 2.226 2.226 -0.122
Tm 2.128 -2.128 5.746
Tm -1.096 1.096 2.867
Tm 3.258 3.258 2.757
Tm 2.128 2.128 5.502
Tm -2.128 2.128 5.746
Tm 1.096 1.096 8.381



[7]
15
Lattice="4.479 2.586 6.803 -4.479 2.586 6.803 0.000 -5.171 6.803" Properties=species:S:1:pos:R:3 comment="PBE NdDy6Tm8, relaxed" sg="R-3, No. 148" magmom_total_mub_per_fu=0.00 delta_e_f_ev_per_atom=0.1361 e_above_lowest_polymorph_ev_per_fu=0.00 energy_ev_per_atom=-4.407 pbc="T T T"
Nd 0.000 0.000 0.000
Dy -1.914 0.510 5.952
Dy 0.515 -1.913 5.952
Dy -1.399 -1.403 14.457
Dy 1.399 1.403 5.952
Dy -0.515 1.913 14.457
Dy 1.914 -0.510 14.457
Tm -2.731 -1.694 10.704
Tm -2.832 1.518 9.705
Tm 0.101 -3.212 9.705
Tm 0.000 0.000 8.648
Tm 0.000 0.000 11.760
Tm -0.101 3.212 10.704
Tm 2.832 -1.518 10.704
Tm 2.731 1.694 9.705



[8]
8
Lattice="4.506 2.602 3.683 -4.506 2.602 3.683 0.000 -5.203 3.683" Properties=species:S:1:pos:R:3 comment="PBE Nd2Dy3Tm3, relaxed" sg="R32, No. 155" magmom_total_mub_per_fu=0.00 delta_e_f_ev_per_atom=0.2341 e_above_lowest_polymorph_ev_per_fu=1.67 energy_ev_per_atom=-4.360 pbc="T T T"
Nd 0.000 0.000 2.750
Nd 0.000 0.000 8.298
Dy -2.276 0.000 5.524
Dy 1.138 -1.971 5.524
Dy 1.138 1.971 5.524
Tm -1.114 -3.274 3.683
Tm -2.279 2.602 3.683
Tm 3.392 0.673 3.683



[9]
16
Lattice="6.684 0.000 0.000 0.000 11.647 0.000 -0.255 0.000 6.488" Properties=species:S:1:pos:R:3 comment="PBE NdDyTm6, relaxed" sg="C2/m, No. 12" magmom_total_mub_per_fu=0.00 delta_e_f_ev_per_atom=0.2328 e_above_lowest_polymorph_ev_per_fu=1.67 energy_ev_per_atom=-4.292 pbc="T T T"
Nd 0.000 0.000 0.000
Nd 3.342 5.824 0.000
Dy -0.128 0.000 3.244
Dy 3.214 5.824 3.244
Tm 0.240 5.824 1.637
Tm 0.968 2.949 4.822
Tm 0.968 8.699 4.822
Tm 2.118 2.875 1.666
Tm 2.118 8.772 1.666
Tm 2.846 0.000 4.852
Tm 3.582 0.000 1.637
Tm 4.310 2.875 4.822
Tm 4.310 8.772 4.822
Tm 5.460 2.949 1.666
Tm 5.460 8.699 1.666
Tm 6.188 5.824 4.852



[10]
12
Lattice="8.668 -3.541 0.000 8.668 3.541 0.000 -0.031 0.000 6.116" Properties=species:S:1:pos:R:3 comment="PBE NdDy2Tm3, relaxed" sg="C2/c, No. 15" magmom_total_mub_per_fu=0.00 delta_e_f_ev_per_atom=0.0240 e_above_lowest_polymorph_ev_per_fu=0.04 energy_ev_per_atom=-4.540 pbc="T T T"
Nd 8.645 2.652 4.587
Nd 8.660 -2.652 1.529
Dy 5.749 0.883 3.561
Dy 5.764 -0.883 0.503
Dy 11.541 0.883 5.613
Dy 11.556 -0.883 2.555
Tm 2.885 0.888 5.601
Tm 2.901 -0.888 2.543
Tm 8.660 0.877 1.529
Tm 8.645 -0.877 4.587
Tm 14.404 0.888 3.573
Tm 14.420 -0.888 0.515



[11]
18
Lattice="10.554 0.000 0.000 0.000 10.554 0.000 0.000 0.000 4.989" Properties=species:S:1:pos:R:3 comment="PBE NdDy2Tm6, relaxed" sg="P4_2/mnm, No. 136" magmom_total_mub_per_fu=0.00 delta_e_f_ev_per_atom=0.0256 e_above_lowest_polymorph_ev_per_fu=0.00 energy_ev_per_atom=-4.508 pbc="T T T"
Nd 0.000 0.000 0.000
Nd 5.277 5.277 2.494
Dy 1.773 1.773 2.494
Dy 3.504 7.050 0.000
Dy 7.050 3.504 0.000
Dy 8.781 8.781 2.494
Tm 0.006 3.533 0.000
Tm 1.744 5.283 2.494
Tm 1.772 8.782 2.494
Tm 3.505 3.505 0.000
Tm 3.533 0.006 0.000
Tm 5.271 8.810 2.494
Tm 5.283 1.744 2.494
Tm 7.021 10.548 0.000
Tm 7.050 7.050 0.000
Tm 8.782 1.772 2.494
Tm 8.810 5.271 2.494
Tm 10.548 7.021 0.000



[12]
11
Lattice="6.949 0.000 0.000 0.000 5.532 0.000 -3.243 0.000 9.459" Properties=species:S:1:pos:R:3 comment="PBE Nd3Dy7Tm, relaxed" sg="P2/m, No. 10" magmom_total_mub_per_fu=0.00 delta_e_f_ev_per_atom=0.1431 e_above_lowest_polymorph_ev_per_fu=0.00 energy_ev_per_atom=-4.492 pbc="T T T"
Nd 0.000 0.000 0.000
Nd 0.338 2.766 4.681
Nd 3.369 2.766 4.778
Dy -1.621 0.000 4.729
Dy -1.522 2.766 7.465
Dy 1.801 2.766 1.280
Dy 1.900 0.000 3.110
Dy 1.807 0.000 6.348
Dy 1.906 2.766 8.178
Dy 5.229 2.766 1.994
Tm 3.475 0.000 0.000